# 1
Below is a relaxed structure of Ni2BRh2, with properties calculated at the PBE-GGA level.

- Offset from the most stable computed form: 0 meV/atom

a b c (Å): 5.2025 5.2025 4.3206
angles (deg): 90.00 90.00 90.00
Closest atoms and distances in Å follow each position.
Positions (direct):
Ni (0.1580, 0.3420, 0.0000)  2 B 1.96
Ni (0.3420, 0.8420, 0.0000)  2 B 1.96
Ni (0.6580, 0.1580, 0.0000)  2 B 1.96
Ni (0.8420, 0.6580, 0.0000)  2 B 1.96
B (0.0000, 0.0000, 0.0000)  4 Ni 1.96
B (0.5000, 0.5000, 0.0000)  4 Ni 1.96
Rh (0.1741, 0.6741, 0.5000)  6 Ni 2.49-2.77, 5 Rh 2.56-2.72
Rh (0.3259, 0.1741, 0.5000)  6 Ni 2.49-2.77, 5 Rh 2.56-2.72
Rh (0.6741, 0.8259, 0.5000)  6 Ni 2.49-2.77, 5 Rh 2.56-2.72
Rh (0.8259, 0.3259, 0.5000)  6 Ni 2.49-2.77, 5 Rh 2.56-2.72

=====

# 2
Below is a relaxed structure of Ni3B2Rh, with properties calculated at the PBE-GGA level.

a b c (Å): 6.0033 6.0033 7.3613
angles (deg): 112.63 112.63 30.57
Closest atoms and distances in Å follow each position.
Positions (direct):
Ni (0.0757, 0.0757, 0.1706)  4 B 2.00-2.10
Ni (0.1759, 0.1759, 0.5353)  3 B 2.00-2.02
Ni (0.2887, 0.2887, 0.9036)  3 B 2.03-2.06
Ni (0.7113, 0.7113, 0.0964)  3 B 2.03-2.06
Ni (0.8241, 0.8241, 0.4647)  3 B 2.00-2.02
Ni (0.9243, 0.9243, 0.8294)  4 B 2.00-2.10
B (0.1178, 0.1178, 0.9185)  5 Ni 2.03-2.10, 2 Rh 2.12
B (0.3640, 0.3640, 0.6504)  5 Ni 2.00-2.02, 1 Rh 2.12
B (0.6360, 0.6360, 0.3496)  5 Ni 2.00-2.02, 1 Rh 2.12
B (0.8822, 0.8822, 0.0815)  5 Ni 2.03-2.10, 2 Rh 2.12
Rh (0.4412, 0.4412, 0.2906)  3 B 2.12
Rh (0.5588, 0.5588, 0.7094)  3 B 2.12

=====

Formation energy (computed, eV per atom): 0.109, -0.243